# KRbSm2Sb2 (PBE, optimized geometry)
data_KRbSm2Sb2
_chemical_formula_sum 'K1 Rb1 Sm2 Sb2'
_space_group_name_H-M_alt 'P 1'
_space_group_IT_number 1
_cell_length_a 4.7580
_cell_length_b 4.7580
_cell_length_c 15.0812
_cell_angle_alpha 90.00
_cell_angle_beta 90.00
_cell_angle_gamma 120.00
loop_
_space_group_symop_operation_xyz
'x,y,z'
loop_
_atom_site_label
_atom_site_fract_x
_atom_site_fract_y
_atom_site_fract_z
K1 0.0000 0.0000 0.0000
Rb1 0.6667 0.3333 0.4954
Sm1 0.3333 0.6667 0.2344
Sm2 0.3333 0.6667 0.7485
Sb1 0.0000 0.0000 0.6647
Sb2 0.6667 0.3333 0.1502
# Energy above the most stable polymorph in this dataset ... 0.292 eV per atom
# Space-group type ... P3m1
# Electronic total energy ... -3.633 eV per atom

# KRbTm2Sb2 (PBE, optimized geometry)
data_KRbTm2Sb2
_chemical_formula_sum 'K1 Rb1 Tm2 Sb2'
_space_group_name_H-M_alt 'P 1'
_space_group_IT_number 1
_cell_length_a 5.1120
_cell_length_b 5.1120
_cell_length_c 8.6755
_cell_angle_alpha 90.00
_cell_angle_beta 90.00
_cell_angle_gamma 90.00
loop_
_space_group_symop_operation_xyz
'x,y,z'
loop_
_atom_site_label
_atom_site_fract_x
_atom_site_fract_y
_atom_site_fract_z
K1 0.0000 0.0000 0.0000
Rb1 0.5000 0.5000 0.7289
Tm1 0.0000 0.5000 0.3588
Tm2 0.5000 0.0000 0.3588
Sb1 0.0000 0.0000 0.5546
Sb2 0.5000 0.5000 0.1661
# Energy above the most stable polymorph in this dataset ... 0.000 eV per atom
# Space-group type ... P4mm
# Electronic total energy ... -3.794 eV per atom

Question: Which value of electronic total energy does entry 1 give?
Answer: -3.633 eV per atom